VASP calculation (meta-GGA SCAN) on a PBEsol-optimized structure of Cr3Cl.

Calculated values
raw formation energy: 1924 meV per atom
total moment: 1.614 μB/cell
energy above the most stable polymorph in this dataset: 1.690 eV per atom
calculated total energy: -13.8591 eV/atom

Lattice parameters (Å, degrees): 4.072 4.072 4.072 90.00 90.00 90.00
Each line ends with the local moment (μB).
Fractional positions:
Cr1 0.500 0.000 0.000  0.50
Cr2 0.000 0.500 0.000  0.50
Cr3 0.000 0.000 0.500  0.50
Cl1 0.000 0.000 0.000  -0.03